(1)
# TbSm3Tl4S8 | Alexandria via LeMat-Bulk | PBE | optimized geometry
# space group = R-3m, No. 166
# raw formation energy = -2274 kJ/mol of formula units
# DOS at the Fermi energy = 0.0 states/eV/cell
data_TbSm3Tl4S8
_cell_length_a 8.214
_cell_length_b 8.885
_cell_length_c 8.216
_cell_angle_alpha 117.56
_cell_angle_beta 120.00
_cell_angle_gamma 90.00
_symmetry_space_group_name_H-M 'P 1'
_symmetry_Int_Tables_number 1
loop_
_symmetry_equiv_pos_as_xyz
'x,y,z'
loop_
_atom_site_label
_atom_site_fract_x
_atom_site_fract_y
_atom_site_fract_z
S1 0.232 0.701 0.463
S2 0.232 0.701 0.969
S3 0.768 0.299 0.537
S4 0.768 0.299 0.031
S5 0.734 0.702 0.468
S6 0.266 0.298 0.532
S7 0.262 0.299 0.031
S8 0.738 0.701 0.969
Tl1 0.500 0.000 0.500
Tl2 0.500 0.000 0.000
Tl3 0.000 0.000 0.500
Tl4 0.000 0.000 0.000
Sm1 0.500 0.500 0.000
Sm2 0.500 0.500 0.500
Sm3 0.000 0.500 0.500
Tb1 0.000 0.500 0.000

(2)
# Sm8Tl4PS3 | Alexandria via LeMat-Bulk | PBE | optimized geometry
# space group = C2/m, No. 12
# raw formation energy = -1756 kJ/mol of formula units
# DOS at the Fermi energy = 10.8 states/eV/cell
data_Sm8Tl4PS3
_cell_length_a 7.935
_cell_length_b 9.236
_cell_length_c 7.951
_cell_angle_alpha 115.59
_cell_angle_beta 119.94
_cell_angle_gamma 90.00
_symmetry_space_group_name_H-M 'P 1'
_symmetry_Int_Tables_number 1
loop_
_symmetry_equiv_pos_as_xyz
'x,y,z'
loop_
_atom_site_label
_atom_site_fract_x
_atom_site_fract_y
_atom_site_fract_z
Tl1 0.500 0.000 0.000
Tl2 0.000 0.000 0.000
Tl3 0.500 0.000 0.500
Tl4 0.000 0.000 0.500
Sm1 0.735 0.705 0.470
Sm2 0.265 0.295 0.530
Sm3 0.234 0.704 0.468
Sm4 0.234 0.704 0.970
Sm5 0.263 0.296 0.030
Sm6 0.766 0.296 0.532
Sm7 0.737 0.704 0.970
Sm8 0.766 0.296 0.030
S1 0.500 0.500 0.000
S2 0.000 0.500 0.500
S3 0.500 0.500 0.500
P1 0.000 0.500 0.000

(3)
# NaSr3Cd | Alexandria via LeMat-Bulk | PBE | optimized geometry
# space group = P2_1/m, No. 11
# DOS at the Fermi energy = 8.7 states/eV/cell
# offset from the most stable computed form = 8 meV/atom
data_NaSr3Cd
_cell_length_a 4.857
_cell_length_b 9.857
_cell_length_c 9.947
_cell_angle_alpha 110.55
_cell_angle_beta 90.00
_cell_angle_gamma 90.00
_symmetry_space_group_name_H-M 'P 1'
_symmetry_Int_Tables_number 1
loop_
_symmetry_equiv_pos_as_xyz
'x,y,z'
loop_
_atom_site_label
_atom_site_fract_x
_atom_site_fract_y
_atom_site_fract_z
Sr1 0.250 0.322 0.588
Sr2 0.750 0.044 0.215
Sr3 0.750 0.678 0.412
Sr4 0.750 0.319 0.930
Sr5 0.250 0.956 0.785
Sr6 0.250 0.681 0.070
Na1 0.250 0.353 0.222
Na2 0.750 0.647 0.778
Cd1 0.250 0.935 0.413
Cd2 0.750 0.065 0.587

(4)
# RbGeP2 | Alexandria via LeMat-Bulk | PBE | optimized geometry
# space group = R-3m, No. 166
# total energy = -3.762 eV per atom
# DOS at the Fermi energy = 3.4 states/eV/cell
data_RbGeP2
_cell_length_a 6.066
_cell_length_b 6.066
_cell_length_c 6.173
_cell_angle_alpha 60.57
_cell_angle_beta 60.57
_cell_angle_gamma 60.00
_symmetry_space_group_name_H-M 'P 1'
_symmetry_Int_Tables_number 1
loop_
_symmetry_equiv_pos_as_xyz
'x,y,z'
loop_
_atom_site_label
_atom_site_fract_x
_atom_site_fract_y
_atom_site_fract_z
P1 0.861 0.861 0.417
P2 0.139 0.139 0.583
Rb1 0.500 0.500 0.500
Ge1 0.000 0.000 0.000

Number 1: volume 27.44 Å³ per atom. Number 2: volume 27.36 Å³ per atom. Number 3: volume 44.59 Å³ per atom. Number 4: volume 40.50 Å³ per atom.